## UBP2 (PBE)

Data for a relaxed structure of UBP2.

The structure in POSCAR format:
```
UBP2
1.0
2.610 -4.260 0.000
2.610 4.260 0.000
0.000 0.000 5.602
U B P
2 2 4
direct
0.185 0.815 0.500
0.815 0.185 0.000
0.370 0.630 0.864
0.630 0.370 0.364
0.150 0.850 0.997
0.436 0.564 0.182
0.564 0.436 0.682
0.850 0.150 0.497
```

Its crystal system is orthorhombic. For the volume, the calculation gives 15.58 Å³/atom. Its formation energy is -109 kJ/mol of formula units. For the distance to the lowest polymorph of the same formula, the calculation gives 0 meV per atom. Its density of states at the Fermi level is 8.475 states/eV per cell.